Sc4InCuC2 | PBE | relaxed

Cell and atoms, written as POSCAR:
```
Sc4InCuC2
1.0
-1.5788 2.5857 -1.4614
-1.4321 -3.0433 0.0334
-6.2813 3.0905 12.2540
Cu Sc C In
1 4 2 1
direct
0.6667 0.3333 0.0000
0.6667 0.3333 0.3172
0.6667 0.3333 0.6828
0.0000 0.0000 0.1451
0.0000 0.0000 0.8549
0.3333 0.6667 0.7703
0.3333 0.6667 0.2297
0.0000 0.0000 0.5000
```

For the magnetic moment, the calculation gives 0.02 μB/cell. The electronic total energy is -6.70 eV per atom. Its space group is P-6m2 (187). Its density is 4.6 g/cm3.